Entry from OQMD via LeMat-Bulk: crystalline LuGaPb2 at its relaxed geometry (PBE).

Results
Uncorrected energy ... -3.7864 eV per atom
ρ ... 10.014 g/cm3

Cell and atoms, written as CIF:
```
data_LuGaPb2
_chemical_formula_sum 'Lu4 Ga4 Pb8'
_cell_length_a 7.590
_cell_length_b 7.590
_cell_length_c 7.590
_cell_angle_alpha 90.00
_cell_angle_beta 90.00
_cell_angle_gamma 90.00
_symmetry_space_group_name_H-M 'F -4 3 m'
_symmetry_Int_Tables_number 216
_symmetry_space_group_name_Hall 'F -4 2 3'
loop_
_atom_site_label
_atom_site_type_symbol
_atom_site_fract_x
_atom_site_fract_y
_atom_site_fract_z
_atom_site_occupancy
Lu1 Lu 0.000 0.000 0.000 1
Ga1 Ga 0.250 0.250 0.750 1
Pb1 Pb 0.000 0.000 0.500 1
Pb2 Pb 0.250 0.250 0.250 1
```